Computed, not measured: a relaxed structure of Ce8Os2Ru3 at the PBE-GGA level of DFT.

Cell: 6.4747 7.8076 8.6221 Å, 116.92 115.94 90.00°
Closest atoms and distances in Å follow each position.
Fractional coordinates of all 13 atoms:
Ce 0.0379 0.6567 0.3134  2 Ru 2.75, 1 Os 2.93
Ce 0.9621 0.3433 0.6866  2 Ru 2.75, 1 Os 2.93
Ce 0.9793 0.1117 0.2234  1 Os 2.68, 3 Ru 2.71-2.98
Ce 0.0207 0.8883 0.7766  1 Os 2.68, 3 Ru 2.71-2.98
Ce 0.5266 0.6254 0.7654  2 Os 2.69-2.89, 2 Ru 2.71-2.76
Ce 0.5266 0.1400 0.7654  2 Os 2.69-2.89, 2 Ru 2.71-2.76
Ce 0.4734 0.8600 0.2346  2 Os 2.69-2.89, 2 Ru 2.71-2.76
Ce 0.4734 0.3746 0.2346  2 Os 2.69-2.89, 2 Ru 2.71-2.76
Os 0.4433 0.2455 0.4909  6 Ce 2.68-2.93
Os 0.5567 0.7545 0.5091  6 Ce 2.68-2.93
Ru 0.5000 0.0000 0.0000  6 Ce 2.71-2.76
Ru 0.0000 0.3056 0.0000  6 Ce 2.71-2.98, 1 Ru 3.04
Ru 0.0000 0.6944 0.0000  6 Ce 2.71-2.98, 1 Ru 3.04

Output
Total magnetization, μB per cell: 3.03
Crystal system: monoclinic
SG: C2/m (12)
Formation energy, eV/f.u.: -2.1

***

Computed, not measured: a relaxed structure of CeNdInAg at the PBE-GGA level of DFT.

Cell: 5.4082 5.4082 5.4082 Å, 60.00 60.00 60.00°
Closest atoms and distances in Å follow each position.
Fractional coordinates of all 4 atoms:
Nd 0.2500 0.2500 0.2500  4 In 3.31, 4 Ag 3.31
Ag 0.5000 0.5000 0.5000  4 Nd 3.31, 4 Ce 3.31
Ce 0.7500 0.7500 0.7500  4 In 3.31, 4 Ag 3.31
In 0.0000 0.0000 0.0000  4 Ce 3.31, 4 Nd 3.31

Output
Total magnetization, μB per cell: 1.55
Crystal system: cubic
SG: F-43m (216)
Formation energy, eV/f.u.: -1.0

***

Computed, not measured: a relaxed structure of CdHg3S at the PBE-GGA level of DFT.

Cell: 5.4287 5.4287 5.4287 Å, 90.00 90.00 90.00°
Closest atoms and distances in Å follow each position.
Fractional coordinates of all 5 atoms:
S 0.0000 0.0000 0.0000  6 Hg 2.71
Hg 0.0000 0.5000 0.0000  2 S 2.71
Hg 0.0000 0.0000 0.5000  2 S 2.71
Hg 0.5000 0.0000 0.0000  2 S 2.71
Cd 0.5000 0.5000 0.5000  12 Hg 3.84

Output
E above lowest polymorph, meV per atom: 0
Total magnetization, μB per cell: 0.00
Energy relative to the elements, uncorrected, eV per atom: 0.28
Crystal system: cubic
SG: Pm-3m (221)

***

Computed, not measured: a relaxed structure of Er3Fe2Ge4 at the PBE-GGA level of DFT.

Cell: 4.2095 5.6421 7.9532 Å, 107.06 90.00 111.90°
Closest atoms and distances in Å follow each position.
Fractional coordinates of all 9 atoms:
Er 0.6227 0.2454 0.6929  4 Fe 2.88-3.10, 7 Ge 2.94-3.07
Er 0.0000 0.0000 0.0000  8 Ge 2.98-3.29
Er 0.3773 0.7546 0.3071  4 Fe 2.88-3.10, 7 Ge 2.94-3.07
Fe 0.6840 0.3680 0.3642  4 Ge 2.34-2.43
Fe 0.3160 0.6320 0.6358  4 Ge 2.34-2.43
Ge 0.7117 0.4235 0.0829  1 Fe 2.35
Ge 0.2883 0.5765 0.9171  1 Fe 2.35
Ge 0.9003 0.8005 0.5970  3 Fe 2.34-2.43
Ge 0.0997 0.1995 0.4030  3 Fe 2.34-2.43

Output
Total magnetization, μB per cell: 0.00
Crystal system: monoclinic
SG: C2/m (12)
Formation energy, eV/f.u.: -5.7

***

Raw total energy across the listed records, respectively: -7.6847; -4.3304; -0.9105; -6.0872 eV/atom.